(1)
A plane-wave DFT calculation with PBE-GGA was carried out for Al2NiCl after structural relaxation.

Lattice parameters (Å, degrees): 6.6333 6.6333 6.6333 126.92 126.92 78.38
Positions (direct):
Al1 0.0667 0.6250 0.9417
Al2 0.3750 0.3167 0.4417
Al3 0.6833 0.1250 0.0583
Al4 0.8750 0.9333 0.5583
Ni1 0.0000 0.0000 0.0000
Ni2 0.7500 0.2500 0.5000
Cl1 0.2500 0.7500 0.5000
Cl2 0.5000 0.5000 0.0000

Calculated values
- formation energy (no corrections) (eV per atom) = 0.0060
- magnetic moment (μB per atom) = 0.00
- energy relative to the lowest polymorph listed for this composition (meV per atom) = 483


(2)
A plane-wave DFT calculation with PBE-GGA was carried out for AlNi2Cl after structural relaxation.

Lattice parameters (Å, degrees): 6.3679 6.3679 6.3679 130.67 130.67 72.34
Positions (direct):
Al1 0.0000 0.0000 0.0000
Al2 0.7500 0.2500 0.5000
Ni1 0.1509 0.6250 0.0259
Ni2 0.3750 0.4009 0.5259
Ni3 0.5991 0.1250 0.9741
Ni4 0.8750 0.8491 0.4741
Cl1 0.2500 0.7500 0.5000
Cl2 0.5000 0.5000 0.0000

Calculated values
- formation energy (no corrections) (eV per atom) = 0.2267
- magnetic moment (μB per atom) = 0.00
- energy relative to the lowest polymorph listed for this composition (meV per atom) = 488


(3)
A plane-wave DFT calculation with PBE-GGA was carried out for Al2NiCl after structural relaxation.

Lattice parameters (Å, degrees): 2.7548 4.7794 4.7794 90.00 90.01 90.00
Positions (direct):
Al1 0.0000 0.0000 0.0000
Al2 0.0011 0.5000 0.4987
Ni1 0.5011 0.5000 0.9998
Cl1 0.0026 0.0000 0.5001

Calculated values
- formation energy (no corrections) (eV per atom) = -0.2274
- magnetic moment (μB per atom) = 0.00
- energy relative to the lowest polymorph listed for this composition (meV per atom) = 249


(4)
A plane-wave DFT calculation with PBE-GGA was carried out for Al2NiCl after structural relaxation.

Lattice parameters (Å, degrees): 4.7618 4.7618 2.7686 90.00 90.00 90.22
Positions (direct):
Al1 0.0000 0.5000 0.0000
Al2 0.5000 0.0000 0.0000
Ni1 0.0000 0.0000 0.5000
Cl1 0.5000 0.5000 0.5000

Calculated values
- formation energy (no corrections) (eV per atom) = -0.0762
- magnetic moment (μB per atom) = 0.00
- energy relative to the lowest polymorph listed for this composition (meV per atom) = 401


(5)
A plane-wave DFT calculation with PBE-GGA was carried out for Al2NiCl after structural relaxation.

Lattice parameters (Å, degrees): 2.9754 2.9944 7.0691 90.00 90.00 90.00
Positions (direct):
Al1 0.0000 0.0000 0.1941
Al2 0.0000 0.0000 0.8059
Ni1 0.5000 0.5000 0.0000
Cl1 0.5000 0.0000 0.5000

Calculated values
- formation energy (no corrections) (eV per atom) = -0.4768
- magnetic moment (μB per atom) = 0.00
- energy relative to the lowest polymorph listed for this composition (meV per atom) = 0


(6)
A plane-wave DFT calculation with PBE-GGA was carried out for AlNi2Cl after structural relaxation.

Lattice parameters (Å, degrees): 4.1506 4.1506 6.6337 111.38 111.38 43.48
Positions (direct):
Al1 0.0000 0.0000 0.0000
Ni1 0.3427 0.3427 0.1502
Ni2 0.6573 0.6573 0.8498
Cl1 0.5000 0.5000 0.5000

Calculated values
- formation energy (no corrections) (eV per atom) = -0.1427
- magnetic moment (μB per atom) = 0.12
- energy relative to the lowest polymorph listed for this composition (meV per atom) = 118


(7)
A plane-wave DFT calculation with PBE-GGA was carried out for Al2NiCl after structural relaxation.

Lattice parameters (Å, degrees): 7.4080 7.4080 7.4080 25.27 25.27 25.27
Positions (direct):
Al1 0.2352 0.2352 0.2352
Al2 0.7648 0.7648 0.7648
Ni1 0.5000 0.5000 0.5000
Cl1 0.0000 0.0000 0.0000

Calculated values
- formation energy (no corrections) (eV per atom) = -0.3755
- magnetic moment (μB per atom) = 0.00
- energy relative to the lowest polymorph listed for this composition (meV per atom) = 101


(8)
A plane-wave DFT calculation with PBE-GGA was carried out for AlNi2Cl after structural relaxation.

Lattice parameters (Å, degrees): 7.5096 7.5096 7.5096 22.63 22.63 22.63
Positions (direct):
Al1 0.0000 0.0000 0.0000
Ni1 0.2510 0.2510 0.2510
Ni2 0.7490 0.7490 0.7490
Cl1 0.5000 0.5000 0.5000

Calculated values
- formation energy (no corrections) (eV per atom) = -0.0717
- magnetic moment (μB per atom) = 0.00
- energy relative to the lowest polymorph listed for this composition (meV per atom) = 189


> Look up the energy relative to the lowest polymorph listed for this composition of the fourth one.

401 meV per atom